# PBE NbCo2Mo2, optimized geometry
data_NbCo2Mo2
_cell_length_a 7.3479
_cell_length_b 7.3479
_cell_length_c 2.6618
_cell_angle_alpha 90.00
_cell_angle_beta 90.00
_cell_angle_gamma 90.00
_space_group_name_H-M_alt 'P 4/m b m'
_space_group_IT_number 127
_space_group_name_Hall '-P 4 2ab'
loop_
_atom_site_label
_atom_site_type_symbol
_atom_site_fract_x
_atom_site_fract_y
_atom_site_fract_z
Nb1 Nb 0.0000 0.0000 0.0000
Co1 Co 0.1733 0.3267 0.5000
Mo1 Mo 0.1254 0.6254 0.0000
# calculated formation energy	0.169	eV/atom
# energy relative to the lowest polymorph listed for this composition	102.2	meV per atom